# TlCrRu2 | the Alexandria database | meta-GGA SCAN | PBEsol geometry
# ΔE_f, eV per atom: 0.51
# Density of states at the Fermi level, states/eV/atom: 0.90
# Distance to the lowest polymorph of the same formula, kJ per mole of atoms: 6.3
# Space-group type: Immm (71)
data_TlCrRu2
_chemical_formula_sum 'Tl1 Cr1 Ru2'
_symmetry_space_group_name_H-M 'P 1'
_symmetry_Int_Tables_number 1
_symmetry_space_group_name_Hall 'P 1'
_cell_length_a 2.861
_cell_length_b 4.624
_cell_length_c 5.270
_cell_angle_alpha 116.02
_cell_angle_beta 105.75
_cell_angle_gamma 90.00
loop_
_atom_site_label
_atom_site_type_symbol
_atom_site_fract_x
_atom_site_fract_y
_atom_site_fract_z
Ru1 Ru 0.721 0.721 0.443
Ru2 Ru 0.279 0.279 0.557
Tl1 Tl 0.500 0.000 0.000
Cr1 Cr 0.000 0.500 0.000